1.
The following is a DFT calculation (PBE) of an optimized crystal structure of PrScCd.

Cell lengths 3.928, 3.940, 10.847 Å; angles 89.96, 89.92, 89.99 degrees
Positions (direct):
Cd 0.873 0.290 0.183
Cd 0.372 0.792 0.330
Pr 0.373 0.790 0.015
Pr 0.872 0.292 0.497
Sc 0.873 0.291 0.826
Sc 0.372 0.791 0.687

Output
Energy of formation: -89 meV per atom
SG: P-1
Size of the total moment: 0.00 μB/cell

2.
The following is a DFT calculation (PBE) of an optimized crystal structure of Pr7ScCd4.

Cell lengths 5.833, 9.263, 8.128 Å; angles 69.84, 68.97, 71.65 degrees
Positions (direct):
Pr 0.799 0.884 0.518
Pr 0.071 0.592 0.266
Pr 0.201 0.116 0.482
Pr 0.500 0.000 0.000
Pr 0.929 0.408 0.734
Pr 0.259 0.701 0.781
Pr 0.741 0.299 0.219
Cd 0.680 0.654 0.985
Cd 0.459 0.710 0.372
Cd 0.541 0.290 0.628
Cd 0.320 0.346 0.015
Sc 0.000 0.000 0.000

Output
Energy of formation: -34 meV per atom
SG: C2/m
Size of the total moment: 0.00 μB/cell